1.
# Cd3TcCl, relaxed, DFT PBE-GGA
# - Relative energy among the computed polymorphs: 0 meV per atom
# - Formation energy without anion corrections: 3.08 eV per formula unit
data_Cd3TcCl
_cell_length_a 5.421
_cell_length_b 5.421
_cell_length_c 5.421
_cell_angle_alpha 90.00
_cell_angle_beta 90.00
_cell_angle_gamma 90.00
_space_group_name_H-M_alt 'P 1'
_space_group_IT_number 1
_space_group_name_Hall 'P 1'
loop_
_atom_site_label
_atom_site_fract_x
_atom_site_fract_y
_atom_site_fract_z
_atom_site_occupancy
Cl1 0.500 0.500 0.500 1
Tc1 0.000 0.000 0.000 1
Cd1 0.000 0.500 0.000 1
Cd2 0.000 0.000 0.500 1
Cd3 0.500 0.000 0.000 1

***

2.
# CeGeS2, relaxed, DFT PBE-GGA
# - Relative energy among the computed polymorphs: 728 meV per atom
# - Formation energy without anion corrections: -1.72 eV per formula unit
data_CeGeS2
_cell_length_a 3.796
_cell_length_b 3.796
_cell_length_c 8.468
_cell_angle_alpha 77.05
_cell_angle_beta 77.05
_cell_angle_gamma 60.00
_space_group_name_H-M_alt 'P 1'
_space_group_IT_number 1
_space_group_name_Hall 'P 1'
loop_
_atom_site_label
_atom_site_fract_x
_atom_site_fract_y
_atom_site_fract_z
_atom_site_occupancy
Ge1 0.500 0.500 0.500 1
S1 0.107 0.107 0.679 1
S2 0.893 0.893 0.321 1
Ce1 0.000 0.000 0.000 1

***

3.
# RuPbBr2, relaxed, DFT PBE-GGA
# - Relative energy among the computed polymorphs: 523 meV per atom
# - Formation energy without anion corrections: 2.02 eV per formula unit
data_RuPbBr2
_cell_length_a 5.766
_cell_length_b 5.766
_cell_length_c 3.773
_cell_angle_alpha 72.54
_cell_angle_beta 72.54
_cell_angle_gamma 108.67
_space_group_name_H-M_alt 'P 1'
_space_group_IT_number 1
_space_group_name_Hall 'P 1'
loop_
_atom_site_label
_atom_site_fract_x
_atom_site_fract_y
_atom_site_fract_z
_atom_site_occupancy
Pb1 0.500 0.000 0.500 1
Ru1 0.000 0.500 0.500 1
Br1 0.000 0.000 0.000 1
Br2 0.500 0.500 0.000 1

***

4.
# KLiSc3, relaxed, DFT PBE-GGA
# - Relative energy among the computed polymorphs: 646 meV per atom
data_KLiSc3
_cell_length_a 5.135
_cell_length_b 5.135
_cell_length_c 5.135
_cell_angle_alpha 90.00
_cell_angle_beta 90.00
_cell_angle_gamma 90.00
_space_group_name_H-M_alt 'P 1'
_space_group_IT_number 1
_space_group_name_Hall 'P 1'
loop_
_atom_site_label
_atom_site_fract_x
_atom_site_fract_y
_atom_site_fract_z
_atom_site_occupancy
Sc1 0.000 0.500 0.000 1
Sc2 0.000 0.000 0.500 1
Sc3 0.500 0.000 0.000 1
K1 0.000 0.000 0.000 1
Li1 0.500 0.500 0.500 1

***

5.
# ZrTi12Ga6, relaxed, DFT PBE-GGA
# - Electronic total energy: -0.4846 Ry/atom
data_ZrTi12Ga6
_cell_length_a 6.865
_cell_length_b 6.865
_cell_length_c 6.865
_cell_angle_alpha 89.58
_cell_angle_beta 89.58
_cell_angle_gamma 89.58
_space_group_name_H-M_alt 'P 1'
_space_group_IT_number 1
_space_group_name_Hall 'P 1'
loop_
_atom_site_label
_atom_site_fract_x
_atom_site_fract_y
_atom_site_fract_z
_atom_site_occupancy
Zr1 0.000 0.000 0.000 1
Ti1 0.802 0.524 0.440 1
Ti2 0.440 0.802 0.524 1
Ti3 0.524 0.440 0.802 1
Ti4 0.198 0.476 0.560 1
Ti5 0.560 0.198 0.476 1
Ti6 0.476 0.560 0.198 1
Ti7 0.064 0.151 0.386 1
Ti8 0.849 0.614 0.936 1
Ti9 0.614 0.936 0.849 1
Ti10 0.936 0.849 0.614 1
Ti11 0.151 0.386 0.064 1
Ti12 0.386 0.064 0.151 1
Ga1 0.716 0.873 0.263 1
Ga2 0.737 0.284 0.127 1
Ga3 0.127 0.737 0.284 1
Ga4 0.284 0.127 0.737 1
Ga5 0.263 0.716 0.873 1
Ga6 0.873 0.263 0.716 1

***

6.
# LiSi2Ni, relaxed, DFT PBE-GGA
# - Relative energy among the computed polymorphs: 178 meV per atom
# - Formation energy without anion corrections: -0.71 eV per formula unit
data_LiSi2Ni
_cell_length_a 4.468
_cell_length_b 4.468
_cell_length_c 4.468
_cell_angle_alpha 132.26
_cell_angle_beta 132.24
_cell_angle_gamma 69.84
_space_group_name_H-M_alt 'P 1'
_space_group_IT_number 1
_space_group_name_Hall 'P 1'
loop_
_atom_site_label
_atom_site_fract_x
_atom_site_fract_y
_atom_site_fract_z
_atom_site_occupancy
Li1 0.500 0.500 0.000 1
Ni1 0.250 0.750 0.500 1
Si1 0.000 0.000 0.000 1
Si2 0.750 0.250 0.500 1

***

| no. | DOS at the Fermi energy (states/eV per atom) |
| --- | --- |
| 1 | 0.56 |
| 2 | 0.88 |
| 3 | 1.03 |
| 4 | 1.33 |
| 5 | 1.30 |
| 6 | 0.41 |